The following is a DFT calculation (PBE) of a geometry-optimized TmInTe3 structure.

Values from the calculation:
The value obtained for the calculated density is 6.690 g/cm3. The calculation puts the raw formation energy at -0.69 eV per atom. As for the polymorph energy (0 for the lowest one): 0.68 eV/f.u. As for the total energy: -0.1477 Ha/atom.

Lattice parameters (Å, degrees): 7.6494 7.8360 12.5548 90.00 118.43 90.00
Sites, in units of the cell vectors:
Tm 0.1563 0.1274 0.2062
Tm 0.1563 0.3726 0.7062
Tm 0.8437 0.6274 0.2938
Tm 0.8437 0.8726 0.7938
In 0.2540 0.6352 0.1132
In 0.2540 0.8648 0.6132
In 0.7460 0.1352 0.3868
In 0.7460 0.3648 0.8868
Te 0.1008 0.1921 0.9373
Te 0.1008 0.3079 0.4373
Te 0.2247 0.6662 0.8832
Te 0.2247 0.8338 0.3832
Te 0.4629 0.0710 0.8177
Te 0.4629 0.4290 0.3177
Te 0.5371 0.5710 0.6823
Te 0.5371 0.9290 0.1823
Te 0.7753 0.1662 0.6168
Te 0.7753 0.3338 0.1168
Te 0.8992 0.6921 0.5627
Te 0.8992 0.8079 0.0627